This record from Alexandria describes crystalline SrSiO3 at its relaxed geometry. The functional is GGA-PBEsol.

Summary:
Energy relative to the elements, uncorrected (eV/atom): -3.0454

a = 7.118 Å, b = 7.118 Å, c = 10.877 Å
α = 108.61°, β = 108.61°, γ = 60.15°
Sites, in units of the cell vectors:
1 Sr 0.000 0.500 0.000
2 Sr 0.155 0.672 0.501
3 Sr 0.328 0.845 0.999
4 Sr 0.500 0.000 0.500
5 Sr 0.672 0.155 0.001
6 Sr 0.845 0.328 0.499
7 Si 0.167 0.833 0.250
8 Si 0.333 0.418 0.754
9 Si 0.418 0.333 0.254
10 Si 0.582 0.667 0.746
11 Si 0.667 0.582 0.246
12 Si 0.833 0.167 0.750
13 O 0.017 0.888 0.109
14 O 0.112 0.983 0.391
15 O 0.182 0.371 0.613
16 O 0.201 0.583 0.252
17 O 0.280 0.466 0.896
18 O 0.366 0.634 0.750
19 O 0.371 0.182 0.113
20 O 0.417 0.799 0.248
21 O 0.466 0.280 0.396
22 O 0.534 0.720 0.604
23 O 0.583 0.201 0.752
24 O 0.629 0.818 0.887
25 O 0.634 0.366 0.250
26 O 0.720 0.534 0.104
27 O 0.799 0.417 0.748
28 O 0.818 0.629 0.387
29 O 0.888 0.017 0.609
30 O 0.983 0.112 0.891



This record from Alexandria describes crystalline Zr3BeP at its relaxed geometry. The functional is GGA-PBEsol.

Summary:
Energy of formation (eV/atom): 0.14

a = 4.553 Å, b = 4.553 Å, c = 4.553 Å
α = 90.00°, β = 90.00°, γ = 90.00°
Sites, in units of the cell vectors:
1 Zr 0.000 0.000 0.500
2 Zr 0.000 0.500 0.000
3 Zr 0.500 0.000 0.000
4 Be 0.000 0.000 0.000
5 P 0.500 0.500 0.500